[1]
Li2CaP | the Alexandria database | GGA-PBE | optimized geometry; DFT formation energy = -0.716 eV per atom
1.0
-1.706 -2.662 -2.552
2.089 -5.396 4.231
-9.514 0.717 5.611
P Ca Li
4 4 8
Cartesian
-8.050 -4.397 5.115
-1.081 -2.943 2.175
-1.629 -5.521 5.230
-7.502 -1.819 2.061
-5.420 -4.265 6.454
-7.578 -1.483 4.994
-1.554 -5.857 2.296
-3.711 -3.076 0.837
-2.891 -3.589 4.058
-0.823 -4.007 -0.122
-7.847 -6.250 6.912
-3.872 -6.396 4.408
-1.284 -1.091 0.378
-5.259 -0.944 2.883
-6.240 -3.752 3.232
-8.308 -3.334 7.413

[2]
PmPaSiRh | the Alexandria database | GGA-PBE | optimized geometry; formation energy from raw total energies = -350 meV/atom
1.0
-0.276 0.822 -4.903
-4.442 0.263 -2.234
-1.676 4.369 -1.701
Pa Pm Si Rh
1 1 1 1
Cartesian
-1.599 1.363 -2.210
-4.796 4.090 -6.629
-3.197 2.727 -4.419
0.000 0.000 0.000

[3]
ZnFePt3 | the Alexandria database | GGA-PBE | optimized geometry; DFT formation energy = 0.942 eV per atom
1.0
-0.566 -3.691 -2.659
4.445 0.121 -1.113
0.967 -2.716 3.564
Pt Zn Fe
3 1 1
Cartesian
2.223 0.060 -0.557
-0.283 -1.846 -1.329
0.483 -1.358 1.782
0.000 0.000 0.000
2.423 -3.143 -0.104

[4]
K2AlCu | the Alexandria database | GGA-PBE | optimized geometry; DFT formation energy = 0.235 eV per atom
1.0
-0.129 -2.752 -2.196
2.311 -1.724 2.025
-7.697 -3.961 5.415
Al Cu K
1 1 2
Cartesian
-4.536 -2.334 3.191
-4.007 -4.861 3.501
-7.089 -3.648 4.987
-1.428 -3.534 1.686

[5]
SrSbTe | the Alexandria database | GGA-PBE | optimized geometry; formation energy from raw total energies = -327 meV/atom
1.0
-3.700 1.938 0.295
0.244 -3.789 -1.763
-1.061 -2.980 6.258
Sb Sr Te
1 1 1
Cartesian
-1.040 -2.922 6.135
-2.753 -1.005 1.779
-1.785 -3.886 3.133

[6]
TmGaAu2 | the Alexandria database | GGA-PBE | optimized geometry; DFT formation energy = -0.580 eV per atom
1.0
3.606 0.000 0.000
0.000 3.606 0.000
0.000 0.000 6.254
Au Tm Ga
2 1 1
Cartesian
0.000 0.000 4.712
0.000 0.000 1.542
1.803 1.803 3.127
1.803 1.803 0.000

[7]
MgPIr2 | the Alexandria database | GGA-PBE | optimized geometry; DFT formation energy = 0.205 eV per atom
1.0
4.405 0.000 0.000
2.203 3.815 0.000
2.203 1.272 3.597
Ir P Mg
2 1 1
Cartesian
0.000 0.000 0.000
6.608 3.815 2.698
2.203 1.272 0.899
4.405 2.543 1.798

[8]
Ir2PtAu | the Alexandria database | GGA-PBE | optimized geometry; DFT formation energy = 0.241 eV per atom
1.0
4.822 0.002 0.006
3.998 2.695 0.006
0.837 0.256 4.823
Ir Pt Au
2 1 1
Cartesian
0.885 0.271 4.708
7.222 2.208 3.703
4.782 1.462 2.430
2.433 0.744 1.235

[9]
Ca9Bi3N2 | the Alexandria database | GGA-PBE | optimized geometry; formation energy from raw total energies = -876 meV/atom
1.0
7.052 0.000 0.000
-3.526 6.107 0.000
0.000 0.000 8.638
Ca Bi N
9 3 2
Cartesian
0.000 2.119 5.842
5.217 1.059 2.795
3.526 0.000 0.000
3.526 3.989 2.795
-1.691 5.048 5.842
-1.763 3.054 0.000
1.835 1.059 2.795
1.691 5.048 5.842
1.763 3.054 0.000
0.000 4.072 2.894
3.526 2.036 5.744
0.000 0.000 0.000
0.000 4.072 7.194
3.526 2.036 1.444

[10]
TiSeS3 | the Alexandria database | GGA-PBE | optimized geometry; formation energy from raw total energies = -28 meV/atom
1.0
4.689 0.000 0.000
0.000 4.689 0.000
0.000 0.000 4.689
Se S Ti
1 3 1
Cartesian
2.345 2.345 2.345
2.345 0.000 0.000
0.000 0.000 2.345
0.000 2.345 0.000
0.000 0.000 0.000

[11]
Pr4IrPdCl2 | the Alexandria database | GGA-PBE | optimized geometry; formation energy from raw total energies = -1150 meV/atom
1.0
-1.379 1.219 -3.768
5.949 -2.815 -3.088
-5.573 -5.672 0.205
Ir Pd Cl Pr
1 1 2 4
Cartesian
2.285 -0.798 -3.428
0.000 0.000 0.000
-3.476 -2.226 -1.782
0.188 -4.243 -1.441
3.186 -3.222 -2.208
-0.382 -1.260 -2.601
-2.811 -5.265 -0.675
-0.621 -6.008 -4.050

[12]
TiGe2PbCl | the Alexandria database | GGA-PBE | optimized geometry; formation energy from raw total energies = 821 meV/atom
1.0
-0.217 0.215 -4.886
-3.111 -4.355 -0.054
-3.977 2.838 0.302
Ge Cl Pb Ti
2 1 1 1
Cartesian
-0.109 0.108 -2.443
-1.989 1.419 0.151
0.000 0.000 0.000
-1.556 -2.177 -0.027
-3.653 -0.651 -2.319

[13]
Tc3TeCl | the Alexandria database | GGA-PBE | optimized geometry; formation energy from raw total energies = 1903 meV/atom
1.0
5.038 0.000 0.000
0.000 5.038 0.000
0.000 0.000 5.038
Te Tc Cl
1 3 1
Cartesian
0.000 0.000 0.000
0.000 2.519 0.000
0.000 0.000 2.519
2.519 0.000 0.000
2.519 2.519 2.519

[14]
ScGeC2 | the Alexandria database | GGA-PBE | optimized geometry; DFT formation energy = 0.456 eV per atom
1.0
-3.516 -2.676 3.354
1.448 -4.822 -2.330
1.354 -4.105 2.732
C Ge Sc
4 2 2
Cartesian
0.961 -4.255 -0.504
-1.836 -3.422 2.638
0.175 -5.674 2.537
-0.730 -9.856 2.841
0.000 0.000 0.000
-1.598 -5.265 3.299
-1.034 -3.749 0.512
0.884 -6.338 0.457

[15]
K3PuAg2Br9 | the Alexandria database | GGA-PBE | optimized geometry; formation energy from raw total energies = -1195 meV/atom
1.0
7.914 0.000 0.000
-3.957 6.854 0.000
0.000 0.000 9.841
Br Pu K Ag
9 1 3 2
Cartesian
-1.978 3.427 0.000
2.010 5.730 3.277
3.957 4.606 6.564
3.957 0.000 0.000
1.978 3.427 0.000
-2.010 5.730 3.277
5.967 1.124 6.564
1.947 1.124 6.564
0.000 2.248 3.277
0.000 0.000 4.921
0.000 0.000 0.000
0.000 4.569 7.355
3.957 2.285 2.486
3.957 2.285 8.291
0.000 4.569 1.551

[16]
RbTlCl2F | the Alexandria database | GGA-PBE | optimized geometry; formation energy from raw total energies = -1550 meV/atom
1.0
-4.421 -1.685 2.983
-2.135 -2.452 -4.550
2.258 -3.992 1.092
Rb Cl F Tl
1 2 1 1
Cartesian
-2.149 -4.065 -0.238
-2.210 -0.843 1.491
-1.068 -1.226 -2.275
1.129 -1.996 0.546
0.000 0.000 0.000

[17]
Sm2Ga2Fe15C3 | the Alexandria database | GGA-PBE | optimized geometry; DFT formation energy = -0.104 eV per atom
1.0
6.563 -0.003 -0.003
0.748 6.521 -0.003
0.748 0.666 6.486
Fe Ga Sm C
15 2 2 3
Cartesian
1.940 4.715 4.254
6.118 2.469 2.227
4.906 4.374 0.944
3.282 -0.001 -0.001
3.152 2.810 5.537
0.374 3.260 -0.001
2.405 4.661 -0.003
4.905 0.188 1.847
2.405 0.476 4.637
0.748 2.335 4.637
4.906 1.388 4.254
0.748 4.852 1.847
3.152 5.796 2.227
0.374 0.333 3.243
4.905 1.857 -0.003
7.230 6.446 5.815
0.828 0.738 0.666
5.243 4.674 4.217
2.815 2.510 2.264
3.655 0.332 3.242
3.655 3.259 -0.003
0.748 3.593 3.242

[18]
PaSb2Mo | the Alexandria database | GGA-PBE | optimized geometry; formation energy from raw total energies = -58 meV/atom
1.0
-2.345 -2.780 0.114
2.663 -2.272 -0.622
-0.388 3.022 7.618
Mo Sb Pa
1 2 1
Cartesian
-0.253 -0.091 5.028
-0.275 -2.511 3.616
-1.265 0.861 7.378
1.907 -2.070 1.187

[19]
AcInRh2 | the Alexandria database | GGA-PBE | optimized geometry; DFT formation energy = -0.466 eV per atom
1.0
-1.569 3.635 2.952
-1.040 -0.940 4.736
2.946 1.731 3.566
Rh Ac In
2 1 1
Cartesian
0.253 3.320 8.440
0.084 1.107 2.813
0.000 0.000 0.000
0.169 2.213 5.627

[20]
SmSbN2 | the Alexandria database | GGA-PBE | optimized geometry; formation energy from raw total energies = -239 meV/atom
1.0
-0.810 -2.735 -2.287
2.616 -1.475 -2.085
1.912 -5.720 3.240
N Sb Sm
2 1 1
Cartesian
1.504 -4.376 1.777
2.213 -5.554 -2.909
0.000 0.000 0.000
1.859 -4.965 -0.566

[21]
Ho8TlHg2 | the Alexandria database | GGA-PBE | optimized geometry; DFT formation energy = -0.118 eV per atom
1.0
-3.382 4.232 -0.791
-5.294 -6.448 -1.281
2.455 1.468 7.941
Ho Hg Tl
8 2 1
Cartesian
-3.490 0.981 2.090
-1.881 -1.510 0.241
-6.152 -1.091 3.470
-0.068 0.343 2.399
-2.730 -1.730 3.779
-4.339 0.761 5.628
-0.969 1.813 5.483
-5.251 -2.562 0.386
-2.936 -4.040 1.525
0.098 -0.941 5.136
-1.691 2.116 -0.396

[22]
Li2SnP2O7 | the Alexandria database | GGA-PBE | optimized geometry; formation energy from raw total energies = -2145 meV/atom
1.0
-4.744 -2.222 0.931
1.993 -0.273 7.316
-4.124 7.350 -2.296
Li O P Sn
4 14 4 2
Cartesian
-3.105 -1.599 1.627
-3.769 6.455 4.324
-5.158 2.673 0.591
-1.716 2.182 5.360
-7.677 3.785 -0.670
-2.669 5.397 3.057
-4.391 3.980 -0.932
-4.051 3.532 1.966
0.803 1.071 6.620
-5.158 0.764 4.844
-4.205 -0.542 2.893
-3.663 5.750 0.779
-1.716 4.091 1.107
-5.376 6.333 -0.989
-3.211 -0.895 5.172
-2.483 0.876 6.883
-2.823 1.323 3.985
-1.499 -1.477 6.940
-3.853 0.227 4.197
-2.747 -0.613 6.721
-4.127 5.468 -0.770
-3.021 4.628 1.754
-1.736 1.691 1.534
-5.138 3.164 4.417

[23]
MgIr2IN | the Alexandria database | GGA-PBE | optimized geometry; formation energy from raw total energies = 485 meV/atom
1.0
-3.714 -1.238 -0.357
1.655 -5.815 2.943
-0.850 1.538 3.517
Ir Mg N I
2 1 1 1
Cartesian
-0.425 0.769 1.758
-1.857 -0.619 -0.178
0.828 -2.907 1.471
0.000 0.000 0.000
-1.455 -2.758 3.051

[24]
Hg5Bi2 | the Alexandria database | GGA-PBE | optimized geometry; DFT formation energy = 0.030 eV per atom
1.0
4.260 0.000 1.489
1.870 3.828 1.489
-2.043 -1.276 12.686
Bi Hg
2 5
Cartesian
0.277 0.173 12.885
3.810 2.379 2.778
3.526 2.202 10.427
2.043 1.276 7.832
5.184 3.237 5.685
0.560 0.350 5.236
-1.097 -0.685 9.979